# 1
{"formula": "Sr2TlBiP", "functional": "PBE-GGA", "state": "optimized geometry", "cell": [[8.6536, 0.0000, 0.0000], [0.0000, 4.3420, 0.0000], [-2.9492, 0.0000, 9.3647]], "species": ["Sr", "Sr", "Sr", "Sr", "Tl", "Tl", "Bi", "Bi", "P", "P"], "frac_coords": [[0.1617, 0.2500, 0.4401], [0.2086, 0.2500, 0.8826], [0.7914, 0.7500, 0.1174], [0.8383, 0.7500, 0.5599], [0.4971, 0.2500, 0.3454], [0.5029, 0.7500, 0.6546], [0.2278, 0.7500, 0.1680], [0.7722, 0.2500, 0.8320], [0.1996, 0.7500, 0.6699], [0.8004, 0.2500, 0.3301]], "delta_e_f_ev_per_atom": -0.658}

***

# 2
{"formula": "Ba2Al4ZnHg3", "functional": "PBE-GGA", "state": "optimized geometry", "cell": [[4.6789, 0.0000, 0.0000], [0.0000, 4.6789, 0.0000], [0.0000, 0.0000, 11.4376]], "species": ["Ba", "Ba", "Al", "Al", "Al", "Al", "Zn", "Hg", "Hg", "Hg"], "frac_coords": [[0.0000, 0.5000, 0.2461], [0.5000, 0.0000, 0.7539], [0.0000, 0.0000, 0.5000], [0.0000, 0.5000, 0.8756], [0.5000, 0.0000, 0.1244], [0.5000, 0.5000, 0.5000], [0.5000, 0.5000, 0.0000], [0.0000, 0.0000, 0.0000], [0.0000, 0.5000, 0.6333], [0.5000, 0.0000, 0.3667]], "delta_e_f_ev_per_atom": -0.269}

***

# 3
{"formula": "YHfZn2", "functional": "PBE-GGA", "state": "optimized geometry", "cell": [[3.4345, 0.0000, 0.0000], [0.0000, 3.4345, 0.0000], [0.0000, 0.0000, 6.8695]], "species": ["Y", "Hf", "Zn", "Zn"], "frac_coords": [[0.0000, 0.0000, 0.0000], [0.0000, 0.0000, 0.5000], [0.5000, 0.5000, 0.2785], [0.5000, 0.5000, 0.7215]], "delta_e_f_ev_per_atom": -0.246}

***

# 4
{"formula": "DySn2Pt", "functional": "PBE-GGA", "state": "optimized geometry", "cell": [[1.7599, 1.0161, 10.0010], [-1.7599, 1.0161, 10.0010], [0.0000, -2.0322, 10.0010]], "species": ["Dy", "Sn", "Sn", "Pt"], "frac_coords": [[0.0000, 0.0000, 0.0000], [0.1044, 0.1044, 0.1044], [0.8956, 0.8956, 0.8956], [0.5000, 0.5000, 0.5000]], "delta_e_f_ev_per_atom": -0.154}

***

# 5
{"formula": "KLiCr2", "functional": "PBE-GGA", "state": "optimized geometry", "cell": [[3.2207, 0.0000, 0.0000], [0.0000, 3.2153, 0.0000], [-0.0395, 0.0000, 8.7752]], "species": ["K", "Li", "Cr", "Cr"], "frac_coords": [[0.0000, 0.0000, 0.0000], [0.5079, 0.5000, 0.6386], [0.0053, 0.0000, 0.4294], [0.5037, 0.5000, 0.3195]], "delta_e_f_ev_per_atom": 0.616}

***

# 6
{"formula": "CeInO", "functional": "PBE-GGA", "state": "optimized geometry", "cell": [[1.9605, 1.1319, 10.4084], [-1.9605, 1.1319, 10.4084], [0.0000, -2.2638, 10.4084]], "species": ["Ce", "Ce", "In", "In", "O", "O"], "frac_coords": [[0.1193, 0.1193, 0.1193], [0.8807, 0.8807, 0.8807], [0.3667, 0.3667, 0.3667], [0.6333, 0.6333, 0.6333], [0.1964, 0.1964, 0.1964], [0.8036, 0.8036, 0.8036]], "raw_formation_energy_ev_per_atom": -1.93}

***

# 7
{"formula": "Y3ScMn", "functional": "PBE-GGA", "state": "optimized geometry", "cell": [[5.3680, 0.0000, 0.0000], [0.0000, 5.3680, 0.0000], [0.0000, 0.0000, 5.3680]], "species": ["Y", "Y", "Y", "Sc", "Mn"], "frac_coords": [[0.0000, 0.0000, 0.5000], [0.0000, 0.5000, 0.0000], [0.5000, 0.0000, 0.0000], [0.0000, 0.0000, 0.0000], [0.5000, 0.5000, 0.5000]], "delta_e_f_ev_per_atom": 1.458}

***

# 8
{"formula": "AgIr4Cl", "functional": "PBE-GGA", "state": "optimized geometry", "cell": [[0.0000, 3.7525, 3.7525], [3.7525, 0.0000, 3.7525], [3.7525, 3.7525, 0.0000]], "species": ["Ag", "Ir", "Ir", "Ir", "Ir", "Cl"], "frac_coords": [[0.0000, 0.0000, 0.0000], [0.1251, 0.6250, 0.6250], [0.6250, 0.1251, 0.6250], [0.6250, 0.6250, 0.1251], [0.6250, 0.6250, 0.6250], [0.2500, 0.2500, 0.2500]], "raw_formation_energy_ev_per_atom": 1.01}

***

# 9
{"formula": "In2CoS", "functional": "PBE-GGA", "state": "optimized geometry", "cell": [[-3.6376, 3.6376, 3.1038], [3.6376, -3.6376, 3.1038], [3.6376, 3.6376, -3.1038]], "species": ["In", "In", "In", "In", "Co", "Co", "S", "S"], "frac_coords": [[0.1195, 0.6250, 0.9945], [0.3750, 0.3695, 0.4945], [0.6305, 0.1250, 0.0055], [0.8750, 0.8805, 0.5055], [0.0000, 0.0000, 0.0000], [0.7500, 0.2500, 0.5000], [0.2500, 0.7500, 0.5000], [0.5000, 0.5000, 0.0000]], "raw_formation_energy_ev_per_atom": 0.26}

***

# 10
{"formula": "LiPa4TaN8", "functional": "PBE-GGA", "state": "optimized geometry", "cell": [[3.5462, 2.0474, 4.8258], [-3.5462, 2.0474, 4.8258], [0.0000, -4.0948, 4.8258]], "species": ["Li", "Pa", "Pa", "Pa", "Pa", "Ta", "N", "N", "N", "N", "N", "N", "N", "N"], "frac_coords": [[0.0000, 0.0000, 0.0000], [0.0070, 0.0070, 0.5131], [0.0070, 0.5131, 0.0070], [0.5131, 0.0070, 0.0070], [0.5993, 0.5993, 0.5993], [0.3926, 0.3926, 0.3926], [0.2217, 0.7803, 0.7803], [0.2553, 0.2553, 0.2553], [0.3106, 0.3106, 0.7416], [0.3106, 0.7416, 0.3106], [0.7416, 0.3106, 0.3106], [0.7652, 0.7652, 0.7652], [0.7803, 0.2217, 0.7803], [0.7803, 0.7803, 0.2217]], "raw_formation_energy_ev_per_atom": -1.35}

***

# 11
{"formula": "K4YZn", "functional": "PBE-GGA", "state": "optimized geometry", "cell": [[0.0000, 5.3523, 5.3523], [5.3523, 0.0000, 5.3523], [5.3523, 5.3523, 0.0000]], "species": ["K", "K", "K", "K", "Y", "Zn"], "frac_coords": [[0.1253, 0.1253, 0.1253], [0.1253, 0.1253, 0.6242], [0.1253, 0.6242, 0.1253], [0.6242, 0.1253, 0.1253], [0.7500, 0.7500, 0.7500], [0.5000, 0.5000, 0.5000]], "delta_e_f_ev_per_atom": 0.625}

***

# 12
{"formula": "NaInTeI2", "functional": "PBE-GGA", "state": "optimized geometry", "cell": [[6.0902, 0.0000, 0.0000], [0.0000, 6.0902, 0.0000], [0.0000, 0.0000, 5.7246]], "species": ["Na", "In", "Te", "I", "I"], "frac_coords": [[0.0000, 0.0000, 0.0000], [0.5000, 0.5000, 0.5000], [0.5000, 0.5000, 0.0000], [0.0000, 0.5000, 0.5000], [0.5000, 0.0000, 0.5000]], "raw_formation_energy_ev_per_atom": -0.38}

***

# 13
{"formula": "Al5ZnCu6", "functional": "PBE-GGA", "state": "optimized geometry", "cell": [[3.5779, -6.4409, 0.0000], [3.5779, 6.4409, 0.0000], [-2.6770, 0.0000, 3.4677]], "species": ["Al", "Al", "Al", "Al", "Al", "Zn", "Cu", "Cu", "Cu", "Cu", "Cu", "Cu"], "frac_coords": [[0.0000, 0.0000, 0.0000], [0.1667, 0.8333, 0.5000], [0.3341, 0.6659, 0.0000], [0.6659, 0.3341, 0.0000], [0.8333, 0.1667, 0.5000], [0.5000, 0.5000, 0.5000], [0.0803, 0.4154, 0.2479], [0.2467, 0.2467, 0.7470], [0.4154, 0.0803, 0.2479], [0.5846, 0.9197, 0.7521], [0.7533, 0.7533, 0.2530], [0.9197, 0.5846, 0.7521]], "delta_e_f_ev_per_atom": -0.160}

***

# 14
{"formula": "CuSbRu", "functional": "PBE-GGA", "state": "optimized geometry", "cell": [[4.2744, 0.0000, 0.0000], [-2.1372, 3.7018, 0.0000], [0.0000, 0.0000, 3.1356]], "species": ["Cu", "Sb", "Ru"], "frac_coords": [[0.0000, 0.0000, 0.0000], [0.3333, 0.6667, 0.6862], [0.6667, 0.3333, 0.4457]], "raw_formation_energy_ev_per_atom": 0.26}

***

# 15
{"formula": "ScMn2N", "functional": "PBE-GGA", "state": "optimized geometry", "cell": [[-2.8772, 2.8772, 3.8612], [2.8772, -2.8772, 3.8612], [2.8772, 2.8772, -3.8612]], "species": ["Sc", "Sc", "Mn", "Mn", "Mn", "Mn", "N", "N"], "frac_coords": [[0.0000, 0.0000, 0.0000], [0.7500, 0.2500, 0.5000], [0.2892, 0.6250, 0.1642], [0.3750, 0.5392, 0.6642], [0.4608, 0.1250, 0.8358], [0.8750, 0.7108, 0.3358], [0.2500, 0.7500, 0.5000], [0.5000, 0.5000, 0.0000]], "raw_formation_energy_ev_per_atom": -0.01}

***

# 16
{"formula": "HgOs2Se", "functional": "PBE-GGA", "state": "optimized geometry", "cell": [[4.5689, 0.0000, 0.0000], [0.0000, 4.5689, 0.0000], [0.0000, 0.0000, 3.1674]], "species": ["Hg", "Os", "Os", "Se"], "frac_coords": [[0.0000, 0.0000, 0.0000], [0.0000, 0.5000, 0.5000], [0.5000, 0.0000, 0.5000], [0.5000, 0.5000, 0.0000]], "raw_formation_energy_ev_per_atom": 1.17}

***

# 17
{"formula": "SrCaAg", "functional": "PBE-GGA", "state": "optimized geometry", "cell": [[6.3943, -2.2614, 0.0000], [6.3943, 2.2614, 0.0000], [-5.0134, 0.0000, 7.3174]], "species": ["Sr", "Sr", "Ca", "Ca", "Ag", "Ag"], "frac_coords": [[0.0796, 0.0796, 0.3557], [0.9204, 0.9204, 0.6443], [0.3218, 0.3218, 0.9201], [0.6782, 0.6782, 0.0799], [0.3692, 0.3692, 0.3253], [0.6308, 0.6308, 0.6747]], "delta_e_f_ev_per_atom": -0.230}

***

# 18
{"formula": "Ba2SrAg9", "functional": "PBE-GGA", "state": "optimized geometry", "cell": [[2.9611, 1.7096, 9.7126], [-2.9611, 1.7096, 9.7126], [0.0000, -3.4192, 9.7126]], "species": ["Ba", "Ba", "Sr", "Ag", "Ag", "Ag", "Ag", "Ag", "Ag", "Ag", "Ag", "Ag"], "frac_coords": [[0.1423, 0.1423, 0.1423], [0.8577, 0.8577, 0.8577], [0.0000, 0.0000, 0.0000], [0.0820, 0.5787, 0.5787], [0.3323, 0.3323, 0.3323], [0.4213, 0.4213, 0.9180], [0.4213, 0.9180, 0.4213], [0.5000, 0.5000, 0.5000], [0.5787, 0.0820, 0.5787], [0.5787, 0.5787, 0.0820], [0.6677, 0.6677, 0.6677], [0.9180, 0.4213, 0.4213]], "delta_e_f_ev_per_atom": -0.166}

***

# 19
{"formula": "SrAcTe", "functional": "PBE-GGA", "state": "optimized geometry", "cell": [[4.6895, -6.4743, 0.0000], [4.6895, 6.4743, 0.0000], [0.0000, 0.0000, 8.5753]], "species": ["Sr", "Sr", "Sr", "Sr", "Ac", "Ac", "Ac", "Ac", "Te", "Te", "Te", "Te"], "frac_coords": [[0.2033, 0.2033, 0.0000], [0.2967, 0.2967, 0.5000], [0.7033, 0.7033, 0.5000], [0.7967, 0.7967, 0.0000], [0.2040, 0.7960, 0.6594], [0.2960, 0.7040, 0.1594], [0.7040, 0.2960, 0.8406], [0.7960, 0.2040, 0.3406], [0.0632, 0.9368, 0.3023], [0.4368, 0.5632, 0.8023], [0.5632, 0.4368, 0.1977], [0.9368, 0.0632, 0.6977]], "raw_formation_energy_ev_per_atom": -0.80}

***

# 20
{"formula": "AcHoTmAg", "functional": "PBE-GGA", "state": "optimized geometry", "cell": [[0.0000, 3.9094, 3.9094], [3.9094, 0.0000, 3.9094], [3.9094, 3.9094, 0.0000]], "species": ["Ac", "Ho", "Tm", "Ag"], "frac_coords": [[0.0000, 0.0000, 0.0000], [0.2500, 0.2500, 0.2500], [0.7500, 0.7500, 0.7500], [0.5000, 0.5000, 0.5000]], "delta_e_f_ev_per_atom": 0.191}

***

# 21
{"formula": "HoCu9Sn2", "functional": "PBE-GGA", "state": "optimized geometry", "cell": [[8.4765, 0.0000, 0.0000], [0.0000, 8.4765, 0.0000], [0.0000, 0.0000, 4.9833]], "species": ["Ho", "Ho", "Cu", "Cu", "Cu", "Cu", "Cu", "Cu", "Cu", "Cu", "Cu", "Cu", "Cu", "Cu", "Cu", "Cu", "Cu", "Cu", "Cu", "Cu", "Sn", "Sn", "Sn", "Sn"], "frac_coords": [[0.0000, 0.0000, 0.0000], [0.5000, 0.5000, 0.0000], [0.0000, 0.5000, 0.5000], [0.0647, 0.2016, 0.5000], [0.1728, 0.6728, 0.2461], [0.1728, 0.6728, 0.7539], [0.2016, 0.9353, 0.5000], [0.2984, 0.4353, 0.5000], [0.3272, 0.1728, 0.2461], [0.3272, 0.1728, 0.7539], [0.4353, 0.7016, 0.5000], [0.5000, 0.0000, 0.5000], [0.5647, 0.2984, 0.5000], [0.6728, 0.8272, 0.2461], [0.6728, 0.8272, 0.7539], [0.7016, 0.5647, 0.5000], [0.7984, 0.0647, 0.5000], [0.8272, 0.3272, 0.2461], [0.8272, 0.3272, 0.7539], [0.9353, 0.7984, 0.5000], [0.1296, 0.3704, 0.0000], [0.3704, 0.8704, 0.0000], [0.6296, 0.1296, 0.0000], [0.8704, 0.6296, 0.0000]], "delta_e_f_ev_per_atom": -0.152}

***

# 22
{"formula": "TiAlCr2", "functional": "PBE-GGA", "state": "optimized geometry", "cell": [[-3.3477, 3.3477, 2.5927], [3.3477, -3.3477, 2.5927], [3.3477, 3.3477, -2.5927]], "species": ["Ti", "Ti", "Al", "Al", "Cr", "Cr", "Cr", "Cr"], "frac_coords": [[0.0000, 0.0000, 0.0000], [0.7500, 0.2500, 0.5000], [0.2500, 0.7500, 0.5000], [0.5000, 0.5000, 0.0000], [0.1249, 0.6250, 0.9999], [0.3750, 0.3749, 0.4999], [0.6251, 0.1250, 0.0001], [0.8750, 0.8751, 0.5001]], "delta_e_f_ev_per_atom": 0.614}

***

# 23
{"formula": "TbHo2Sc6", "functional": "PBE-GGA", "state": "optimized geometry", "cell": [[3.3928, 0.0000, 0.0000], [-1.6964, 2.9383, 0.0000], [0.0000, 0.0000, 24.3581]], "species": ["Tb", "Ho", "Ho", "Sc", "Sc", "Sc", "Sc", "Sc", "Sc"], "frac_coords": [[0.0000, 0.0000, 0.0000], [0.3333, 0.6667, 0.3280], [0.3333, 0.6667, 0.6720], [0.0000, 0.0000, 0.2159], [0.0000, 0.0000, 0.4383], [0.0000, 0.0000, 0.5617], [0.0000, 0.0000, 0.7841], [0.3333, 0.6667, 0.1130], [0.3333, 0.6667, 0.8870]], "delta_e_f_ev_per_atom": 0.077}

***

# 24
{"formula": "Ce3PrNd4P8", "functional": "PBE-GGA", "state": "optimized geometry", "cell": [[4.1409, 2.3907, 6.7606], [-4.1409, 2.3907, 6.7606], [0.0000, -4.7815, 6.7606]], "species": ["Ce", "Ce", "Ce", "Pr", "Nd", "Nd", "Nd", "Nd", "P", "P", "P", "P", "P", "P", "P", "P"], "frac_coords": [[0.0000, 0.5000, 0.5000], [0.5000, 0.0000, 0.5000], [0.5000, 0.5000, 0.0000], [0.0000, 0.0000, 0.0000], [0.0000, 0.0000, 0.5000], [0.0000, 0.5000, 0.0000], [0.5000, 0.0000, 0.0000], [0.5000, 0.5000, 0.5000], [0.2507, 0.2507, 0.7433], [0.2507, 0.7433, 0.2507], [0.2525, 0.2525, 0.2525], [0.2567, 0.7493, 0.7493], [0.7433, 0.2507, 0.2507], [0.7475, 0.7475, 0.7475], [0.7493, 0.2567, 0.7493], [0.7493, 0.7493, 0.2567]], "delta_e_f_ev_per_atom": -1.528}

***

Size of the total moment? In order: 0.00, 0.00, 0.00, 0.00, 0.06, 0.34, 0.12, 0.90, 0.29, 0.01, 0.02, 0.00, 0.00, 0.00, 1.12, 0.00, 0.00, 0.00, 0.29, 0.00, 0.00, 0.00, 0.14, 0.09 μB per atom.